PBE KSiCl5, relaxed; DOS(E_F) = 0.00 states/eV/f.u.; symmetry = Imm2 (44); energy relative to the elements, uncorrected = -1.3099 eV per atom
1.0
6.7720 0.0000 3.0833
3.0471 5.7546 2.2860
0.9890 -0.5665 6.8064
K Cl Si
1 5 1
Cartesian
2.3840 3.7182 3.7423
3.4192 1.6154 6.0291
4.6251 3.8271 7.7988
6.7516 1.6154 7.5463
6.0847 1.0591 4.5927
5.8898 4.0860 5.0209
5.3510 2.4311 6.2043